No. 1
Density functional theory data (PBE) for an optimized crystal structure of RbCdNO.

The total energy is -3.482 eV per atom. Its symmetry is Pca2_1, No. 29.

```
RbCdNO
1.0
6.850 0.000 0.000
0.000 9.530 0.000
0.000 0.000 4.450
Rb N O Cd
4 4 4 4
direct
0.576 0.860 0.050
0.924 0.860 0.550
0.424 0.140 0.550
0.076 0.140 0.050
0.182 0.841 0.050
0.318 0.841 0.550
0.682 0.159 0.050
0.818 0.159 0.550
0.550 0.411 0.551
0.050 0.589 0.551
0.950 0.411 0.051
0.450 0.589 0.051
0.901 0.386 0.551
0.599 0.386 0.051
0.099 0.614 0.051
0.401 0.614 0.551
```

No. 2
Density functional theory data (PBE) for an optimized crystal structure of Ta2Os2O5.

The total energy is -8.588 eV per atom. Its symmetry is P4/mmm, No. 123.

```
Ta2Os2O5
1.0
8.469 0.000 0.000
0.000 3.340 0.000
0.000 0.000 3.340
O Ta Os
5 2 2
direct
0.685 0.000 0.500
0.500 0.500 0.500
0.315 0.000 0.500
0.315 0.500 0.000
0.685 0.500 0.000
0.500 0.000 0.000
0.000 0.000 0.000
0.164 0.500 0.500
0.836 0.500 0.500
```

No. 3
Density functional theory data (PBE) for an optimized crystal structure of Gd4TeC2Br.

The total energy is -6.136 eV per atom. Its symmetry is P-6m2, No. 187.

```
Gd4TeC2Br
1.0
-1.509 -2.189 -2.729
-0.180 -1.102 3.643
-12.446 6.785 1.438
Gd C Te Br
4 2 1 1
direct
0.000 0.000 0.655
0.333 0.667 0.840
0.000 0.000 0.345
0.333 0.667 0.160
0.667 0.333 0.757
0.667 0.333 0.243
0.333 0.667 0.500
0.000 0.000 0.000
```